# 1
# PBE NbGa2Ag2, optimized geometry
data_NbGa2Ag2
_chemical_formula_sum 'Nb2 Ga4 Ag4'
_cell_length_a 3.851
_cell_length_b 3.851
_cell_length_c 11.840
_cell_angle_alpha 90.00
_cell_angle_beta 90.00
_cell_angle_gamma 90.00
_symmetry_space_group_name_H-M 'I 4/m m m'
_symmetry_Int_Tables_number 139
_symmetry_space_group_name_Hall '-I 4 2'
loop_
_atom_site_label
_atom_site_type_symbol
_atom_site_fract_x
_atom_site_fract_y
_atom_site_fract_z
Nb1 Nb 0.000 0.000 0.000
Ga1 Ga 0.000 0.000 0.401
Ag1 Ag 0.000 0.500 0.250
# Energy of formation in meV/atom: 130
# Energy relative to the lowest polymorph listed for this composition in meV/atom: 26.8

# 2
# PBE Nb2GaAgOs, optimized geometry
data_Nb2GaAgOs
_chemical_formula_sum 'Nb2 Ga1 Ag1 Os1'
_cell_length_a 4.912
_cell_length_b 4.912
_cell_length_c 4.404
_cell_angle_alpha 90.00
_cell_angle_beta 90.00
_cell_angle_gamma 90.00
_symmetry_space_group_name_H-M 'P 4/m m m'
_symmetry_Int_Tables_number 123
_symmetry_space_group_name_Hall '-P 4 2'
loop_
_atom_site_label
_atom_site_type_symbol
_atom_site_fract_x
_atom_site_fract_y
_atom_site_fract_z
Nb1 Nb 0.000 0.500 0.000
Ga1 Ga 0.000 0.000 0.500
Ag1 Ag 0.000 0.000 0.000
Os1 Os 0.500 0.500 0.500
# Energy of formation in meV/atom: 1857

# 3
# PBE NbGa2AgPb, optimized geometry
data_NbGa2AgPb
_chemical_formula_sum 'Nb1 Ga2 Ag1 Pb1'
_cell_length_a 5.039
_cell_length_b 5.039
_cell_length_c 5.250
_cell_angle_alpha 90.00
_cell_angle_beta 90.00
_cell_angle_gamma 90.00
_symmetry_space_group_name_H-M 'P 4/m m m'
_symmetry_Int_Tables_number 123
_symmetry_space_group_name_Hall '-P 4 2'
loop_
_atom_site_label
_atom_site_type_symbol
_atom_site_fract_x
_atom_site_fract_y
_atom_site_fract_z
Nb1 Nb 0.000 0.000 0.000
Ga1 Ga 0.000 0.500 0.000
Ag1 Ag 0.000 0.000 0.500
Pb1 Pb 0.500 0.500 0.500
# Energy of formation in meV/atom: 622
# Energy relative to the lowest polymorph listed for this composition in meV/atom: 0.0

# 4
# PBE RbNbGa2Ag, optimized geometry
data_RbNbGa2Ag
_chemical_formula_sum 'Rb1 Nb1 Ga2 Ag1'
_cell_length_a 5.096
_cell_length_b 5.096
_cell_length_c 5.569
_cell_angle_alpha 90.00
_cell_angle_beta 90.00
_cell_angle_gamma 90.00
_symmetry_space_group_name_H-M 'P 4/m m m'
_symmetry_Int_Tables_number 123
_symmetry_space_group_name_Hall '-P 4 2'
loop_
_atom_site_label
_atom_site_type_symbol
_atom_site_fract_x
_atom_site_fract_y
_atom_site_fract_z
Rb1 Rb 0.000 0.000 0.000
Nb1 Nb 0.500 0.500 0.000
Ga1 Ga 0.000 0.500 0.500
Ag1 Ag 0.500 0.500 0.500
# Energy of formation in meV/atom: 902

# 5
# PBE NbGa2AgSn, optimized geometry
data_NbGa2AgSn
_chemical_formula_sum 'Nb1 Ga2 Ag1 Sn1'
_cell_length_a 4.739
_cell_length_b 4.739
_cell_length_c 5.588
_cell_angle_alpha 90.00
_cell_angle_beta 90.00
_cell_angle_gamma 90.00
_symmetry_space_group_name_H-M 'P 4/m m m'
_symmetry_Int_Tables_number 123
_symmetry_space_group_name_Hall '-P 4 2'
loop_
_atom_site_label
_atom_site_type_symbol
_atom_site_fract_x
_atom_site_fract_y
_atom_site_fract_z
Nb1 Nb 0.000 0.000 0.000
Ga1 Ga 0.000 0.500 0.500
Ag1 Ag 0.500 0.500 0.500
Sn1 Sn 0.500 0.500 0.000
# Energy of formation in meV/atom: 929

# 6
# PBE Ta2NbGaAg, optimized geometry
data_Ta2NbGaAg
_chemical_formula_sum 'Ta2 Nb1 Ga1 Ag1'
_cell_length_a 4.739
_cell_length_b 4.739
_cell_length_c 4.735
_cell_angle_alpha 90.00
_cell_angle_beta 90.00
_cell_angle_gamma 90.00
_symmetry_space_group_name_H-M 'P 4/m m m'
_symmetry_Int_Tables_number 123
_symmetry_space_group_name_Hall '-P 4 2'
loop_
_atom_site_label
_atom_site_type_symbol
_atom_site_fract_x
_atom_site_fract_y
_atom_site_fract_z
Ta1 Ta 0.000 0.500 0.000
Nb1 Nb 0.000 0.000 0.500
Ga1 Ga 0.000 0.000 0.000
Ag1 Ag 0.500 0.500 0.500
# Energy of formation in meV/atom: 1230

# 7
# PBE Zr2NbGaAg, optimized geometry
data_Zr2NbGaAg
_chemical_formula_sum 'Zr2 Nb1 Ga1 Ag1'
_cell_length_a 4.994
_cell_length_b 4.994
_cell_length_c 4.798
_cell_angle_alpha 90.00
_cell_angle_beta 90.00
_cell_angle_gamma 90.00
_symmetry_space_group_name_H-M 'P 4/m m m'
_symmetry_Int_Tables_number 123
_symmetry_space_group_name_Hall '-P 4 2'
loop_
_atom_site_label
_atom_site_type_symbol
_atom_site_fract_x
_atom_site_fract_y
_atom_site_fract_z
Zr1 Zr 0.000 0.500 0.000
Nb1 Nb 0.000 0.000 0.500
Ga1 Ga 0.000 0.000 0.000
Ag1 Ag 0.500 0.500 0.500
# Energy of formation in meV/atom: 734

# 8
# PBE NdGa2Ag, optimized geometry
data_NdGa2Ag
_chemical_formula_sum 'Nd4 Ga8 Ag4'
_cell_length_a 6.958
_cell_length_b 6.958
_cell_length_c 6.958
_cell_angle_alpha 90.00
_cell_angle_beta 90.00
_cell_angle_gamma 90.00
_symmetry_space_group_name_H-M 'F m -3 m'
_symmetry_Int_Tables_number 225
_symmetry_space_group_name_Hall '-F 4 2 3'
loop_
_atom_site_label
_atom_site_type_symbol
_atom_site_fract_x
_atom_site_fract_y
_atom_site_fract_z
Nd1 Nd 0.000 0.000 0.000
Ga1 Ga 0.250 0.250 0.250
Ag1 Ag 0.000 0.000 0.500
# Energy of formation in meV/atom: -354
# Energy relative to the lowest polymorph listed for this composition in meV/atom: 133.1

# 9
# PBE NdGa4Ag12, optimized geometry
data_NdGa4Ag12
_chemical_formula_sum 'Nd2 Ga8 Ag24'
_cell_length_a 9.040
_cell_length_b 9.040
_cell_length_c 9.040
_cell_angle_alpha 90.00
_cell_angle_beta 90.00
_cell_angle_gamma 90.00
_symmetry_space_group_name_H-M 'I m -3'
_symmetry_Int_Tables_number 204
_symmetry_space_group_name_Hall '-I 2 2 3'
loop_
_atom_site_label
_atom_site_type_symbol
_atom_site_fract_x
_atom_site_fract_y
_atom_site_fract_z
Nd1 Nd 0.000 0.000 0.000
Ga1 Ga 0.250 0.250 0.250
Ag1 Ag 0.000 0.346 0.154
# Energy of formation in meV/atom: 204

# 10
# PBE Nd3Ga3Ag2, optimized geometry
data_Nd3Ga3Ag2
_chemical_formula_sum 'Nd6 Ga6 Ag4'
_cell_length_a 4.594
_cell_length_b 15.313
_cell_length_c 5.872
_cell_angle_alpha 90.00
_cell_angle_beta 112.90
_cell_angle_gamma 90.00
_symmetry_space_group_name_H-M 'P 1 21/m 1'
_symmetry_Int_Tables_number 11
loop_
_symmetry_equiv_pos_as_xyz
'x,y,z'
'-x,-y,-z'
'-x,y+1/2,-z'
'x,-y+1/2,z'
loop_
_atom_site_label
_atom_site_type_symbol
_atom_site_fract_x
_atom_site_fract_y
_atom_site_fract_z
Nd1 Nd 0.101 0.108 0.202
Nd2 Nd 0.376 0.250 0.748
Ga1 Ga 0.339 0.750 0.679
Ga2 Ga 0.396 0.040 0.793
Ag1 Ag 0.199 0.598 0.398
# Energy of formation in meV/atom: -492

# 11
# PBE Nd4Ga12Ag, optimized geometry
data_Nd4Ga12Ag
_chemical_formula_sum 'Nd8 Ga24 Ag2'
_cell_length_a 8.865
_cell_length_b 8.865
_cell_length_c 8.865
_cell_angle_alpha 90.00
_cell_angle_beta 90.00
_cell_angle_gamma 90.00
_symmetry_space_group_name_H-M 'I m -3 m'
_symmetry_Int_Tables_number 229
_symmetry_space_group_name_Hall '-I 4 2 3'
loop_
_atom_site_label
_atom_site_type_symbol
_atom_site_fract_x
_atom_site_fract_y
_atom_site_fract_z
Nd1 Nd 0.250 0.250 0.250
Ga1 Ga 0.000 0.000 0.305
Ga2 Ga 0.000 0.250 0.500
Ag1 Ag 0.000 0.000 0.000
# Energy of formation in meV/atom: -534

# 12
# PBE Nd3Ga2Ag3, optimized geometry
data_Nd3Ga2Ag3
_chemical_formula_sum 'Nd12 Ga8 Ag12'
_cell_length_a 4.591
_cell_length_b 10.896
_cell_length_c 15.467
_cell_angle_alpha 90.00
_cell_angle_beta 90.00
_cell_angle_gamma 90.00
_symmetry_space_group_name_H-M 'C m c m'
_symmetry_Int_Tables_number 63
_symmetry_space_group_name_Hall '-C 2c 2'
loop_
_atom_site_label
_atom_site_type_symbol
_atom_site_fract_x
_atom_site_fract_y
_atom_site_fract_z
Nd1 Nd 0.000 0.094 0.103
Nd2 Nd 0.000 0.385 0.250
Ga1 Ga 0.000 0.200 0.604
Ag1 Ag 0.000 0.330 0.750
Ag2 Ag 0.000 0.382 0.041
# Energy of formation in meV/atom: -388

| no. | theoretical density (g/cm³) | E (eV/f.u.) |
| --- | --- | --- |
| 1 | 8.476 | -21.18 |
| 2 | 8.652 | -27.96 |
| 3 | 6.820 | -19.57 |
| 4 | 4.888 | -15.43 |
| 5 | 6.073 | -18.33 |
| 6 | 9.873 | -33.50 |
| 7 | 6.285 | -29.38 |
| 8 | 7.720 | -15.09 |
| 9 | 7.722 | -47.63 |
| 10 | 7.486 | -33.02 |
| 11 | 7.253 | -67.32 |
| 12 | 7.690 | -32.01 |